The following is a GGA-PBE calculation of crystalline Y2ErBi2Te2 at its relaxed geometry, from Alexandria.

Properties
- Calculated density: 6.51 g cm⁻³
- Calculated total energy: -5.050 eV/atom

abc: 5.8373 5.8373 15.2342
angles: 90.00 90.00 90.00
Closest atoms and distances in Å follow each position.
Space group I4/mmm (No. 139)
One atom of each set of equivalent atoms:
Y  0.0000  0.0000  0.1154 [4 per cell]  1 Te 2.87
Er  0.0000  0.0000  0.5000 [2 per cell]  4 Bi 2.92, 2 Te 2.99
Bi  0.0000  0.5000  0.0000 [4 per cell]  2 Er 2.92
Te  0.0000  0.0000  0.3038 [4 per cell]  1 Y 2.87, 1 Er 2.99

=====

The following is a GGA-PBE calculation of crystalline YErBiTe at its relaxed geometry, from Alexandria.

Properties
- Calculated density: 8.15 g cm⁻³
- Calculated total energy: -5.590 eV/atom

abc: 4.4046 4.4046 6.2282
angles: 90.00 90.00 90.00
Closest atoms and distances in Å follow each position.
Space group P4mm (No. 99)
One atom of each set of equivalent atoms:
Y  0.0000  0.0000  0.0000 [1 per cell]  2 Te 3.11-3.12, 4 Bi 3.11
Er  0.5000  0.5000  0.4982 [1 per cell]  2 Bi 3.11, 4 Te 3.11
Bi  0.5000  0.5000  0.9984 [1 per cell]  2 Er 3.11, 4 Y 3.11
Te  0.0000  0.0000  0.4998 [1 per cell]  2 Y 3.11-3.12, 4 Er 3.11

=====

The following is a GGA-PBE calculation of crystalline Er2ThBi at its relaxed geometry, from Alexandria.

Properties
- Distance to the lowest polymorph of the same formula: 191 meV/atom
- Calculated density: 10.53 g cm⁻³

abc: 3.5983 3.5983 32.7258
angles: 90.00 90.00 120.00
Closest atoms and distances in Å follow each position.
Space group R3m (No. 160, hexagonal axes)
One atom of each set of equivalent atoms:
Er  0.0000  0.0000  0.0000 [3 per cell]  3 Bi 3.32, 3 Th 3.53, 6 Er 3.60
Er  0.0000  0.0000  0.1750 [3 per cell]  3 Bi 3.32, 3 Th 3.54, 6 Er 3.60
Th  0.0000  0.0000  0.4206 [3 per cell]  6 Er 3.53-3.54, 6 Th 3.60
Bi  0.0000  0.0000  0.5874 [3 per cell]  6 Er 3.32, 6 Bi 3.60

=====

The following is a GGA-PBE calculation of crystalline Er2ThBi3 at its relaxed geometry, from Alexandria.

Properties
- Calculated density: 10.24 g cm⁻³
- Calculated total energy: -5.425 eV/atom

abc: 4.5081 6.3897 13.4385
angles: 90.00 90.00 90.00
Closest atoms and distances in Å follow each position.
Space group Immm (No. 71)
One atom of each set of equivalent atoms:
Er  0.0000  0.0000  0.1645 [4 per cell]  6 Bi 3.14-3.20
Th  0.0000  0.0000  0.5000 [2 per cell]  6 Bi 3.19-3.24
Bi  0.0000  0.5000  0.1729 [4 per cell]  4 Er 3.14-3.20, 2 Th 3.24
Bi  0.0000  0.5000  0.5000 [2 per cell]  4 Er 3.16, 2 Th 3.19

=====

The following is a GGA-PBE calculation of crystalline ErThBi2 at its relaxed geometry, from Alexandria.

Properties
- Distance to the lowest polymorph of the same formula: 152 meV/atom
- Calculated density: 11.39 g cm⁻³

abc: 5.7185 5.7185 3.6424
angles: 90.00 90.00 90.00
Closest atoms and distances in Å follow each position.
Space group P4/mmm (No. 123)
One atom of each set of equivalent atoms:
Er  0.0000  0.0000  0.0000 [1 per cell]  8 Bi 3.39, 2 Er 3.64
Th  0.5000  0.5000  0.0000 [1 per cell]  8 Bi 3.39, 2 Th 3.64
Bi  0.0000  0.5000  0.5000 [2 per cell]  4 Th 3.39, 4 Er 3.39, 2 Bi 3.64

=====

The following is a GGA-PBE calculation of crystalline Er5ThBi6 at its relaxed geometry, from Alexandria.

Properties
- Calculated density: 10.15 g cm⁻³
- Calculated total energy: -5.236 eV/atom

abc: 7.7493 13.4181 7.7549
angles: 90.00 109.51 90.00
Closest atoms and distances in Å follow each position.
Space group C2/m (No. 12)
One atom of each set of equivalent atoms:
Er  0.0000  0.0000  0.0000 [2 per cell]  6 Bi 3.12-3.16
Er  0.0000  0.1678  0.5000 [4 per cell]  6 Bi 3.16-3.17
Er  0.0000  0.3364  0.0000 [4 per cell]  6 Bi 3.13-3.17
Th  0.0000  0.5000  0.5000 [2 per cell]  6 Bi 3.21-3.22
Bi  0.2437  0.0000  0.7512 [4 per cell]  5 Er 3.12-3.16, 1 Th 3.21
Bi  0.2451  0.1696  0.2450 [8 per cell]  5 Er 3.13-3.17, 1 Th 3.22

=====

The following is a GGA-PBE calculation of crystalline ErThBi2 at its relaxed geometry, from Alexandria.

Properties
- Distance to the lowest polymorph of the same formula: 168 meV/atom
- Calculated density: 11.38 g cm⁻³

abc: 7.8126 7.8126 7.8126
angles: 90.00 90.00 90.00
Closest atoms and distances in Å follow each position.
Space group Fm-3m (No. 225)
One atom of each set of equivalent atoms:
Er  0.0000  0.0000  0.0000 [4 per cell]  8 Bi 3.38
Th  0.0000  0.0000  0.5000 [4 per cell]  8 Bi 3.38
Bi  0.2500  0.2500  0.2500 [8 per cell]  4 Th 3.38, 4 Er 3.38

=====

The following is a GGA-PBE calculation of crystalline Er2ThBi at its relaxed geometry, from Alexandria.

Properties
- Distance to the lowest polymorph of the same formula: 126 meV/atom
- Calculated density: 10.59 g cm⁻³

abc: 3.6151 3.6151 32.2268
angles: 90.00 90.00 120.00
Closest atoms and distances in Å follow each position.
Space group R-3m (No. 166, hexagonal axes)
One atom of each set of equivalent atoms:
Er  0.0000  0.0000  0.2466 [6 per cell]  3 Bi 3.32, 3 Th 3.49, 6 Er 3.62
Th  0.0000  0.0000  0.0000 [3 per cell]  6 Er 3.49, 6 Th 3.62
Bi  0.0000  0.0000  0.5000 [3 per cell]  6 Er 3.32, 6 Bi 3.62

=====

The following is a GGA-PBE calculation of crystalline Er2ThBi at its relaxed geometry, from Alexandria.

Properties
- Distance to the lowest polymorph of the same formula: 0 meV/atom
- Calculated density: 10.98 g cm⁻³

abc: 3.9550 3.9550 7.4947
angles: 90.00 90.00 90.00
Closest atoms and distances in Å follow each position.
Space group P4/mmm (No. 123)
One atom of each set of equivalent atoms:
Er  0.0000  0.0000  0.2256 [2 per cell]  4 Bi 3.27, 1 Er 3.38, 4 Th 3.47
Th  0.5000  0.5000  0.5000 [1 per cell]  8 Er 3.47, 2 Bi 3.75
Bi  0.5000  0.5000  0.0000 [1 per cell]  8 Er 3.27

=====

The following is a GGA-PBE calculation of crystalline Er4ThBi5 at its relaxed geometry, from Alexandria.

Properties
- Calculated density: 10.18 g cm⁻³
- Calculated total energy: -5.275 eV/atom

abc: 14.8343 4.4854 10.9635
angles: 90.00 119.49 90.00
Closest atoms and distances in Å follow each position.
Space group C2/m (No. 12)
One atom of each set of equivalent atoms:
Er  0.0973  0.0000  0.3992 [4 per cell]  6 Bi 3.13-3.16
Er  0.2009  0.5000  0.7944 [4 per cell]  6 Bi 3.14-3.18
Th  0.0000  0.5000  0.0000 [2 per cell]  6 Bi 3.22-3.23
Bi  0.0000  0.5000  0.5000 [2 per cell]  6 Er 3.14-3.15
Bi  0.1055  0.0000  0.8977 [4 per cell]  4 Er 3.15-3.18, 2 Th 3.23
Bi  0.2019  0.5000  0.3069 [4 per cell]  5 Er 3.13-3.16, 1 Th 3.22

=====

The following is a GGA-PBE calculation of crystalline ErThBi2 at its relaxed geometry, from Alexandria.

Properties
- Distance to the lowest polymorph of the same formula: 92 meV/atom
- Calculated density: 10.16 g cm⁻³

abc: 4.4544 4.4544 23.3199
angles: 90.00 90.00 120.00
Closest atoms and distances in Å follow each position.
Space group R3m (No. 160, hexagonal axes)
One atom of each set of equivalent atoms:
Er  0.0000  0.0000  0.0000 [3 per cell]  6 Bi 3.15-3.24
Th  0.0000  0.0000  0.8278 [3 per cell]  6 Bi 3.22-3.29
Bi  0.0000  0.0000  0.2488 [3 per cell]  3 Er 3.24, 3 Th 3.29
Bi  0.0000  0.0000  0.4111 [3 per cell]  3 Er 3.15, 3 Th 3.22

=====

The following is a GGA-PBE calculation of crystalline ErTh6Bi8 at its relaxed geometry, from Alexandria.

Properties
- Calculated density: 10.36 g cm⁻³
- Calculated total energy: -5.869 eV/atom

abc: 9.6118 9.6118 19.4231
angles: 90.00 90.00 120.00
Closest atoms and distances in Å follow each position.
Space group R-3 (No. 148, hexagonal axes)
One atom of each set of equivalent atoms:
Er  0.0000  0.0000  0.0000 [3 per cell]  6 Bi 3.14
Th  0.9998  0.3844  0.0769 [18 per cell]  7 Bi 3.26-3.43
Bi  0.0000  0.0000  0.3309 [6 per cell]  6 Th 3.32-3.36
Bi  0.0039  0.7310  0.0906 [18 per cell]  1 Er 3.14, 5 Th 3.26-3.43